## ReTc2Sb (GGA-PBE)

Data for a relaxed ReTc2Sb crystal.

## Properties
- SG = Imm2
- M_tot (μB/f.u.) = 0.00
- final energy (eV per atom) = -9.003
- formation energy without anion corrections (eV per atom) = 0.323

Cell and atoms, written as POSCAR:
```
ReTc2Sb
1.0
-1.560 2.249 4.553
1.560 -2.249 4.553
1.560 2.249 -4.553
Re Tc Sb
1 2 1
Direct
0.000 0.000 0.000
0.475 0.475 0.000
0.747 0.247 0.500
0.241 0.741 0.500
```